Here is crystalline NaPm6Sn8 at its relaxed geometry from Alexandria via LeMat-Bulk. Energies are from PBE-GGA.

Results
ΔE_f	-0.56	eV per atom
symmetry	P-3

Lattice parameters (Å, degrees): 6.3610 9.2319 9.2319 120.00 90.00 90.00
Element x y z (fractional)
Sn 0.7645 0.3426 0.2815
Pm 0.2579 0.9269 0.6050
Na 0.5000 0.0000 0.0000
Pm 0.7421 0.0731 0.3950
Sn 0.2355 0.0610 0.3426
Sn 0.2355 0.2815 0.9390
Sn 0.7645 0.9390 0.6574
Sn 0.6089 0.6667 0.3333
Sn 0.2355 0.6574 0.7185
Sn 0.3911 0.3333 0.6667
Sn 0.7645 0.7185 0.0610
Pm 0.7421 0.6050 0.6780
Pm 0.2579 0.3950 0.3220
Pm 0.7421 0.3220 0.9269
Pm 0.2579 0.6780 0.0731

Here is crystalline Na2PmSn3 at its relaxed geometry from Alexandria via LeMat-Bulk. Energies are from PBE-GGA.

Results
ΔE_f	-0.32	eV per atom
symmetry	P4/mmm

Lattice parameters (Å, degrees): 3.3351 3.3351 14.7810 90.00 90.00 90.00
Element x y z (fractional)
Na 0.5000 0.5000 0.1692
Sn 0.0000 0.0000 0.6634
Sn 0.0000 0.0000 0.3366
Na 0.5000 0.5000 0.8308
Pm 0.5000 0.5000 0.5000
Sn 0.0000 0.0000 0.0000

Here is crystalline NaPmSn at its relaxed geometry from Alexandria via LeMat-Bulk. Energies are from PBE-GGA.

Results
ΔE_f	-0.52	eV per atom
symmetry	P6_3/mmc
E above lowest polymorph	0.00	eV/f.u.

Lattice parameters (Å, degrees): 5.4971 5.4971 6.5346 90.00 90.00 119.98
Element x y z (fractional)
Na 0.0000 0.5000 0.0000
Sn 0.3332 0.1668 0.7500
Pm 0.6666 0.8334 0.7500
Na 0.0000 0.5000 0.5000
Sn 0.6668 0.8332 0.2500
Pm 0.3334 0.1666 0.2500

Here is crystalline NaPm3Sn12 at its relaxed geometry from Alexandria via LeMat-Bulk. Energies are from PBE-GGA.

Results
ΔE_f	-0.40	eV per atom
symmetry	P4/mmm

Lattice parameters (Å, degrees): 4.7125 4.7125 19.3337 90.00 90.00 90.00
Element x y z (fractional)
Sn 0.5000 0.0000 0.1228
Sn 0.5000 0.5000 0.2470
Sn 0.0000 0.5000 0.8772
Sn 0.5000 0.0000 0.6250
Sn 0.5000 0.5000 0.5000
Sn 0.5000 0.5000 0.0000
Pm 0.0000 0.0000 0.5000
Na 0.0000 0.0000 0.0000
Sn 0.0000 0.5000 0.3750
Pm 0.0000 0.0000 0.2535
Pm 0.0000 0.0000 0.7465
Sn 0.0000 0.5000 0.1228
Sn 0.0000 0.5000 0.6250
Sn 0.5000 0.0000 0.3750
Sn 0.5000 0.0000 0.8772
Sn 0.5000 0.5000 0.7530